Entry from Alexandria: TbEuNiAg after structural relaxation (PBE).

Values from the calculation:
Its symmetry is F-43m, No. 216. As for the total magnetization: 1.76 μB/atom. The calculated formation energy is -0.1774 eV/atom. Its uncorrected energy is -24.25 eV per formula unit.

```
data_TbEuNiAg
_symmetry_space_group_name_H-M 'P 1'
_symmetry_Int_Tables_number 1
_cell_length_a 7.175
_cell_length_b 7.175
_cell_length_c 7.175
_cell_angle_alpha 90.00
_cell_angle_beta 90.00
_cell_angle_gamma 90.00
loop_
_symmetry_equiv_pos_as_xyz
'x,y,z'
loop_
_atom_site_label
_atom_site_type_symbol
_atom_site_fract_x
_atom_site_fract_y
_atom_site_fract_z
Tb1 Tb 0.000 0.000 0.000
Tb2 Tb 0.000 0.500 0.500
Tb3 Tb 0.500 0.000 0.500
Tb4 Tb 0.500 0.500 0.000
Eu1 Eu 0.000 0.000 0.500
Eu2 Eu 0.000 0.500 0.000
Eu3 Eu 0.500 0.000 0.000
Eu4 Eu 0.500 0.500 0.500
Ni1 Ni 0.250 0.250 0.250
Ni2 Ni 0.250 0.750 0.750
Ni3 Ni 0.750 0.250 0.750
Ni4 Ni 0.750 0.750 0.250
Ag1 Ag 0.250 0.250 0.750
Ag2 Ag 0.250 0.750 0.250
Ag3 Ag 0.750 0.250 0.250
Ag4 Ag 0.750 0.750 0.750
```